1.
Material: ReSiTe2Au
Method: DFT, GGA-PBEsol
State: optimized geometry

Calculated values
Formation energy without anion corrections (eV per atom): 0.807
Crystal system: tetragonal

a = 5.190 Å, b = 5.190 Å, c = 4.564 Å
α = 90.00°, β = 90.00°, γ = 90.00°
Space group P4/mmm (No. 123)
Unique sites:
1 Re 0.000 0.000 0.000 x1
2 Si 0.000 0.000 0.500 x1
3 Te 0.000 0.500 0.000 x2
4 Au 0.500 0.500 0.500 x1

2.
Material: Re2RuAu
Method: DFT, GGA-PBEsol
State: optimized geometry

Calculated values
Calculated formation energy (eV per formula unit): 1.3
Energy above the lowest structure with this stoichiometry (kJ/mol of atoms): 0.0
Crystal system: tetragonal

a = 3.908 Å, b = 3.908 Å, c = 7.656 Å
α = 90.00°, β = 90.00°, γ = 90.00°
Space group I-4m2 (No. 119)
Unique sites:
1 Re 0.000 0.000 0.000 x2
2 Re 0.000 0.500 0.250 x2
3 Ru 0.000 0.000 0.500 x2
4 Au 0.000 0.500 0.750 x2

3.
Material: MgSb3H
Method: DFT, GGA-PBEsol
State: optimized geometry

Calculated values
Calculated total energy (eV per atom): -2.7099
Crystal system: cubic

a = 5.306 Å, b = 5.306 Å, c = 5.306 Å
α = 90.00°, β = 90.00°, γ = 90.00°
Space group Pm-3m (No. 221)
Unique sites:
1 Mg 0.000 0.000 0.000 x1
2 Sb 0.000 0.000 0.500 x3
3 H 0.500 0.500 0.500 x1

4.
Material: Te2RhS
Method: DFT, GGA-PBEsol
State: optimized geometry

Calculated values
Formation energy without anion corrections (eV per atom): 0.541
Crystal system: trigonal

a = 3.2620 Å, b = 3.2620 Å, c = 27.6350 Å
α = 90.00°, β = 90.00°, γ = 120.00°
Space group R-3m (No. 166, hexagonal axes)
Unique sites:
1 Te 0.0000 0.0000 0.0906 x6
2 Rh 0.0000 0.0000 0.0000 x3
3 S 0.0000 0.0000 0.5000 x3

5.
Material: NaRhN2
Method: DFT, GGA-PBEsol
State: optimized geometry

Calculated values
Formation energy without anion corrections (eV per atom): 0.829
Crystal system: cubic

a = 5.253 Å, b = 5.253 Å, c = 5.253 Å
α = 90.00°, β = 90.00°, γ = 90.00°
Space group Fm-3m (No. 225)
Unique sites:
1 Na 0.000 0.000 0.000 x4
2 Rh 0.000 0.000 0.500 x4
3 N 0.250 0.250 0.250 x8

6.
Material: Na2CrSiCO7
Method: DFT, GGA-PBEsol
State: optimized geometry

Calculated values
Formation energy without anion corrections (eV per atom): -1.989
Crystal system: monoclinic

a = 5.183 Å, b = 6.385 Å, c = 8.933 Å
α = 90.00°, β = 92.05°, γ = 90.00°
Space group P2_1/m (No. 11)
Unique sites:
1 Na 0.240 0.009 0.264 x4
2 Cr 0.204 0.250 0.848 x2
3 Si 0.291 0.750 0.929 x2
4 C 0.277 0.250 0.580 x2
5 O 0.049 0.250 0.639 x2
6 O 0.128 0.750 0.082 x2
7 O 0.215 0.541 0.831 x4
8 O 0.314 0.250 0.443 x2
9 O 0.396 0.250 0.034 x2
10 O 0.464 0.250 0.685 x2